[1]
The following is a GGA-PBE calculation of an optimized crystal structure of LuThTi4, from the Alexandria database.

Cell lengths 5.691, 5.691, 5.691 Å; angles 60.00, 60.00, 60.00 degrees
Last column: magnetic moment on the atom in μB.
Fractional coordinates of all 6 atoms:
Lu 0.000 0.000 0.000  0.16
Th 0.250 0.250 0.250  0.10
Ti 0.624 0.624 0.127  0.68
Ti 0.624 0.127 0.624  0.68
Ti 0.624 0.624 0.624  0.68
Ti 0.127 0.624 0.624  0.68

E_form ... 0.1955 eV per atom

[2]
The following is a GGA-PBE calculation of an optimized crystal structure of Tb4Sm3Ho5, from the Alexandria database.

Cell lengths 5.900, 8.517, 9.654 Å; angles 105.92, 72.21, 69.74 degrees
Last column: magnetic moment on the atom in μB.
Fractional coordinates of all 12 atoms:
Tb 0.860 0.222 0.058  0.00
Tb 0.168 0.043 0.621  0.00
Tb 0.832 0.957 0.379  0.00
Tb 0.140 0.778 0.942  0.00
Sm 0.523 0.686 0.269  0.00
Sm 0.000 0.500 0.500  0.09
Sm 0.477 0.314 0.731  0.00
Ho 0.624 0.949 0.802  0.01
Ho 0.500 0.500 0.500  0.11
Ho 0.215 0.457 0.112  0.01
Ho 0.785 0.543 0.888  0.01
Ho 0.376 0.051 0.198  0.01

E_form ... 0.2337 eV per atom
Distance to the lowest polymorph of the same formula ... 2.61 eV per formula unit

[3]
The following is a GGA-PBE calculation of an optimized crystal structure of PmNp3Tl4Te8, from the Alexandria database.

Cell lengths 9.005, 9.695, 9.015 Å; angles 117.77, 119.96, 90.00 degrees
Last column: magnetic moment on the atom in μB.
Fractional coordinates of all 16 atoms:
Pm 0.000 0.500 0.000  0.04
Np 0.500 0.500 0.000  3.99
Np 0.500 0.500 0.500  3.99
Np 0.000 0.500 0.500  3.99
Tl 0.500 0.000 0.000  0.00
Tl 0.500 0.000 0.500  -0.01
Tl 0.000 0.000 0.000  -0.01
Tl 0.000 0.000 0.500  -0.01
Te 0.240 0.716 0.976  -0.06
Te 0.240 0.716 0.480  -0.06
Te 0.263 0.287 0.525  -0.08
Te 0.736 0.716 0.976  -0.06
Te 0.264 0.284 0.024  -0.06
Te 0.737 0.713 0.475  -0.08
Te 0.760 0.284 0.520  -0.06
Te 0.760 0.284 0.024  -0.06

ΔE_f (raw) ... -15.83 kcal/mol of atoms

[4]
The following is a GGA-PBE calculation of an optimized crystal structure of KAg4TeSe2, from the Alexandria database.

Cell lengths 4.352, 4.352, 10.734 Å; angles 90.00, 90.00, 90.00 degrees
Fractional coordinates of all 8 atoms:
K 0.000 0.000 0.500
Ag 0.000 0.500 0.186
Ag 0.500 0.000 0.814
Ag 0.500 0.000 0.186
Ag 0.000 0.500 0.814
Te 0.000 0.000 0.000
Se 0.500 0.500 0.333
Se 0.500 0.500 0.667

ΔE_f (raw) ... -7.35 kcal/mol of atoms

[5]
The following is a GGA-PBE calculation of an optimized crystal structure of Ta4CuTc2, from the Alexandria database.

Cell lengths 4.569, 4.569, 7.232 Å; angles 71.59, 71.59, 90.00 degrees
Fractional coordinates of all 7 atoms:
Tc 0.618 0.618 0.764
Tc 0.382 0.382 0.236
Cu 0.000 0.000 0.000
Ta 0.807 0.807 0.387
Ta 0.193 0.193 0.613
Ta 0.000 0.500 0.000
Ta 0.500 0.000 0.000

E_form ... 0.9823 eV per atom

[6]
The following is a GGA-PBE calculation of an optimized crystal structure of BaGeAu2, from the Alexandria database.

Cell lengths 5.259, 5.259, 5.259 Å; angles 60.00, 60.00, 60.00 degrees
Fractional coordinates of all 4 atoms:
Ge 0.000 0.000 0.000
Au 0.250 0.250 0.250
Au 0.750 0.750 0.750
Ba 0.500 0.500 0.500

E_form ... -0.2396 eV per atom

[7]
The following is a GGA-PBE calculation of an optimized crystal structure of Tb11S16, from the Alexandria database.

Cell lengths 8.323, 8.363, 16.788 Å; angles 90.00, 90.00, 90.00 degrees
Fractional coordinates of all 54 atoms:
Tb 0.263 0.363 0.880
Tb 0.501 0.751 0.819
Tb 0.736 0.121 0.877
Tb 0.027 0.758 0.941
Tb 0.736 0.879 0.123
Tb 0.641 0.500 0.000
Tb 0.027 0.242 0.059
Tb 0.263 0.637 0.120
Tb 0.501 0.249 0.181
Tb 0.264 0.379 0.377
Tb 0.879 0.493 0.249
Tb 0.121 0.993 0.251
Tb 0.499 0.749 0.319
Tb 0.737 0.137 0.380
Tb 0.973 0.742 0.441
Tb 0.737 0.863 0.620
Tb 0.359 0.000 0.500
Tb 0.973 0.258 0.559
Tb 0.264 0.621 0.623
Tb 0.499 0.251 0.681
Tb 0.879 0.507 0.751
Tb 0.121 0.007 0.749
S 0.180 0.688 0.784
S 0.424 0.074 0.830
S 0.945 0.441 0.910
S 0.582 0.427 0.843
S 0.061 0.078 0.907
S 0.816 0.830 0.782
S 0.704 0.184 0.037
S 0.704 0.816 0.963
S 0.945 0.559 0.090
S 0.341 0.673 0.961
S 0.424 0.926 0.170
S 0.061 0.922 0.093
S 0.582 0.573 0.157
S 0.341 0.327 0.039
S 0.184 0.670 0.282
S 0.180 0.312 0.216
S 0.418 0.073 0.343
S 0.816 0.170 0.218
S 0.939 0.422 0.407
S 0.576 0.426 0.330
S 0.055 0.059 0.410
S 0.820 0.812 0.284
S 0.659 0.173 0.539
S 0.659 0.827 0.461
S 0.939 0.578 0.593
S 0.296 0.684 0.463
S 0.418 0.927 0.657
S 0.055 0.941 0.590
S 0.576 0.574 0.670
S 0.296 0.316 0.537
S 0.184 0.330 0.718
S 0.820 0.188 0.716

ΔE_f (raw) ... -47.32 kcal/mol of atoms

[8]
The following is a GGA-PBE calculation of an optimized crystal structure of CeHIO2, from the Alexandria database.

Cell lengths 4.137, 7.383, 7.109 Å; angles 97.73, 90.00, 90.00 degrees
Fractional coordinates of all 10 atoms:
Ce 0.250 0.669 0.907
Ce 0.750 0.331 0.093
H 0.250 0.572 0.481
H 0.750 0.428 0.519
I 0.250 0.087 0.777
I 0.750 0.913 0.223
O 0.750 0.385 0.383
O 0.250 0.615 0.617
O 0.750 0.544 0.897
O 0.250 0.456 0.103

E ... -6.178 eV per atom

[9]
The following is a GGA-PBE calculation of an optimized crystal structure of SbPbSI2, from the Alexandria database.

Cell lengths 6.106, 6.106, 6.229 Å; angles 90.00, 90.00, 90.00 degrees
Last column: magnetic moment on the atom in μB.
Fractional coordinates of all 5 atoms:
Pb 0.000 0.000 0.000  -0.02
I 0.000 0.500 0.000  -0.01
I 0.500 0.000 0.000  -0.01
S 0.500 0.500 0.500  0.98
Sb 0.000 0.000 0.500  -0.57

Distance to the lowest polymorph of the same formula ... 1.88 eV per formula unit
ΔE_f (raw) ... 15.91 kcal/mol of atoms

Number 1: ρ 7.6 Mg/m³. Number 2: ρ 8.1 Mg/m³. Number 3: ρ 7.8 Mg/m³. Number 4: ρ 6.2 Mg/m³. Number 5: ρ 12.1 Mg/m³. Number 6: ρ 9.7 Mg/m³. Number 7: ρ 6.4 Mg/m³. Number 8: ρ 4.6 Mg/m³. Number 9: ρ 4.4 Mg/m³.